Crystalline Tl2PCl at its relaxed geometry, computed with PBE.

Cell: 3.8864 3.8864 8.2235 Å, 90.00 90.00 90.00°
With the nearest neighbours (Å) after each atom.
Fractional positions:
1 Tl 0.0000 0.0000 0.0000  4 P 2.79, 1 Cl 2.97
2 Tl 0.5000 0.5000 0.4702  4 Cl 3.08, 1 P 3.40
3 P 0.5000 0.5000 0.0569  4 Tl 2.79
4 Cl 0.0000 0.0000 0.6386  5 Tl 2.97-3.08

Results
Its uncorrected formation energy is -0.1497 eV/atom. As for the space group: P4mm, No. 99. As for the energy above the most stable polymorph in this dataset: 60 meV/atom.

---

Crystalline BeSn at its relaxed geometry, computed with PBE.

Cell: 6.2294 6.2845 7.4483 Å, 90.00 90.00 90.00°
With the nearest neighbours (Å) after each atom.
Fractional positions:
1 Be 0.0125 0.0129 0.4604  2 Be 2.25-2.27
2 Be 0.1804 0.7985 0.9454  2 Be 2.25-2.27
3 Be 0.3196 0.2015 0.4454  2 Be 2.25-2.27
4 Be 0.4875 0.9871 0.9604  2 Be 2.25-2.27
5 Be 0.5125 0.4871 0.5396  2 Be 2.25-2.27
6 Be 0.6804 0.7015 0.0546  2 Be 2.25-2.27
7 Be 0.8196 0.2985 0.5546  2 Be 2.25-2.27
8 Be 0.9875 0.5129 0.0396  2 Be 2.25-2.27
9 Sn 0.1295 0.1372 0.1339  5 Be 2.57-2.74
10 Sn 0.1633 0.4291 0.7293  5 Be 2.61-2.83
11 Sn 0.3367 0.5709 0.2293  5 Be 2.61-2.83
12 Sn 0.3705 0.8628 0.6339  5 Be 2.57-2.74
13 Sn 0.6295 0.3628 0.8661  5 Be 2.57-2.74
14 Sn 0.6633 0.0709 0.2707  5 Be 2.61-2.83
15 Sn 0.8367 0.9291 0.7707  5 Be 2.61-2.83
16 Sn 0.8705 0.6372 0.3661  5 Be 2.57-2.74

Results
As for the space group: P2_12_12_1, No. 19. As for the energy above the most stable polymorph in this dataset: 132 meV/atom. The value obtained for the formation energy is 357 meV/atom.

---

Values of size of the total moment, in order: 0.06, 0.00, all in μB per cell.